(1)
First-principles (PBE-GGA) data for an optimized crystal structure of Nd2Sm2C2Cl5, as listed in OQMD.

a b c (Å): 19.034 3.821 7.791
angles (deg): 90.00 114.03 90.00
Space group C2/m (No. 12)
Symmetry-distinct sites (fractional):
Nd: 0.170 0.000 0.169 [4 per cell]
Sm: 0.000 0.500 0.210 [4 per cell]
C: 0.041 0.000 0.041 [4 per cell]
Cl: 0.000 0.000 0.500 [2 per cell]
Cl: 0.165 0.500 0.439 [4 per cell]
Cl: 0.165 0.500 0.889 [4 per cell]

Output
**ρ**: 5.07 g cm⁻³
**Distance to the lowest polymorph of the same formula**: 0.007 eV per atom
**V**: 517.5 Å³ per cell
**Total magnetic moment**: 0.035 Bohr magnetons per cell
**DFT total energy**: -5.824 eV per atom



(2)
First-principles (PBE-GGA) data for an optimized crystal structure of CoTcNiAs, as listed in OQMD.

a b c (Å): 5.867 5.867 5.867
angles (deg): 90.00 90.00 90.00
Space group F-43m (No. 216)
Symmetry-distinct sites (fractional):
Co: 0.000 0.000 0.000 [4 per cell]
Tc: 0.250 0.250 0.250 [4 per cell]
Ni: 0.250 0.250 0.750 [4 per cell]
As: 0.000 0.000 0.500 [4 per cell]

Output
**ρ**: 9.55 g cm⁻³
**Distance to the lowest polymorph of the same formula**: 0.049 eV per atom
**V**: 202.0 Å³ per cell
**Total magnetic moment**: 7.167 Bohr magnetons per cell
**DFT total energy**: -6.856 eV per atom



(3)
First-principles (PBE-GGA) data for an optimized crystal structure of NdPO4, as listed in OQMD.

a b c (Å): 4.921 4.921 11.500
angles (deg): 90.00 90.00 90.00
Space group I4_1/a (No. 88, origin choice 2)
Symmetry-distinct sites (fractional):
Nd: 0.000 0.250 0.125 [4 per cell]
P: 0.000 0.250 0.625 [4 per cell]
O: 0.113 0.489 0.699 [16 per cell]

Output
**ρ**: 5.70 g cm⁻³
**V**: 278.5 Å³ per cell
**Total magnetic moment**: 0.003 Bohr magnetons per cell
**DFT total energy**: -7.920 eV per atom



(4)
First-principles (PBE-GGA) data for an optimized crystal structure of TmBPt, as listed in OQMD.

a b c (Å): 6.086 6.086 6.086
angles (deg): 90.00 90.00 90.00
Space group F-43m (No. 216)
Symmetry-distinct sites (fractional):
Tm: 0.000 0.000 0.000 [4 per cell]
B: 0.000 0.000 0.500 [4 per cell]
Pt: 0.250 0.250 0.750 [4 per cell]

Output
**ρ**: 11.04 g cm⁻³
**Distance to the lowest polymorph of the same formula**: 0.395 eV per atom
**V**: 225.4 Å³ per cell
**Total magnetic moment**: 2.235 Bohr magnetons per cell
**DFT total energy**: -5.700 eV per atom



(5)
First-principles (PBE-GGA) data for an optimized crystal structure of PrInMo, as listed in OQMD.

a b c (Å): 7.030 7.030 7.030
angles (deg): 90.00 90.00 90.00
Space group F-43m (No. 216)
Symmetry-distinct sites (fractional):
Pr: 0.000 0.000 0.000 [4 per cell]
In: 0.250 0.250 0.750 [4 per cell]
Mo: 0.250 0.250 0.250 [4 per cell]

Output
**ρ**: 6.72 g cm⁻³
**V**: 347.4 Å³ per cell
**Total magnetic moment**: 13.402 Bohr magnetons per cell
**DFT total energy**: -4.933 eV per atom



(6)
First-principles (PBE-GGA) data for an optimized crystal structure of YCuSi2Ni, as listed in OQMD.

a b c (Å): 3.963 3.963 9.730
angles (deg): 90.00 90.00 90.00
Space group I-4m2 (No. 119)
Symmetry-distinct sites (fractional):
Y: 0.000 0.000 0.000 [2 per cell]
Cu: 0.000 0.500 0.750 [2 per cell]
Si: 0.000 0.000 0.378 [4 per cell]
Ni: 0.000 0.500 0.250 [2 per cell]

Output
**ρ**: 5.81 g cm⁻³
**V**: 152.8 Å³ per cell
**Total magnetic moment**: 0.001 Bohr magnetons per cell
**DFT total energy**: -6.043 eV per atom



(7)
First-principles (PBE-GGA) data for an optimized crystal structure of Na3SmDy2Pb3, as listed in OQMD.

a b c (Å): 5.2144 5.2144 10.5567
angles (deg): 90.00 90.00 120.00
Space group P-6m2 (No. 187)
Symmetry-distinct sites (fractional):
Na: 0.0000 0.0000 0.0000 [1 per cell]
Na: 0.3333 0.6667 0.3152 [2 per cell]
Sm: 0.6667 0.3333 0.5000 [1 per cell]
Dy: 0.6667 0.3333 0.1648 [2 per cell]
Pb: 0.0000 0.0000 0.3381 [2 per cell]
Pb: 0.3333 0.6667 0.0000 [1 per cell]

Output
**ρ**: 7.79 g cm⁻³
**V**: 248.6 Å³ per cell
**Total magnetic moment**: 0.006 Bohr magnetons per cell
**DFT total energy**: -3.445 eV per atom



(8)
First-principles (PBE-GGA) data for an optimized crystal structure of Dy3Mg3Ga2Ir, as listed in OQMD.

a b c (Å): 7.2380 7.2380 4.3756
angles (deg): 90.00 90.00 120.00
Space group P-62m (No. 189)
Symmetry-distinct sites (fractional):
Dy: 0.0000 0.5956 0.0000 [3 per cell]
Mg: 0.0000 0.2368 0.5000 [3 per cell]
Ga: 0.3333 0.6667 0.5000 [2 per cell]
Ir: 0.0000 0.0000 0.0000 [1 per cell]

Output
**ρ**: 7.46 g cm⁻³
**V**: 198.5 Å³ per cell
**Total magnetic moment**: 0.011 Bohr magnetons per cell
**DFT total energy**: -4.240 eV per atom